(1)
! NiRh2I2 GGA-PBEsol relaxed; values from VASP
&SYSTEM
  ibrav = 0, nat = 5, ntyp = 3
/
ATOMIC_SPECIES
I 126.90 I.upf
Ni 58.69 Ni.upf
Rh 102.91 Rh.upf
ATOMIC_POSITIONS angstrom
I 2.600 4.505 3.198
I 0.000 3.017 1.065
Ni 0.000 0.000 0.000
Rh 2.600 2.536 1.401
Rh 0.000 4.987 2.862
CELL_PARAMETERS angstrom
5.200 0.000 0.000
-2.600 4.547 -0.002
0.000 2.976 4.265
! * SG: I4/mmm
! * spin magnetization: 0.2469 μB/atom
! * uncorrected formation energy: 674 meV/atom

=====

(2)
! CoTc2W GGA-PBEsol relaxed; values from VASP
&SYSTEM
  ibrav = 0, nat = 4, ntyp = 3
/
ATOMIC_SPECIES
Co 58.93 Co.upf
Tc 98.00 Tc.upf
W 183.84 W.upf
ATOMIC_POSITIONS angstrom
Co 0.000 0.000 1.905
Tc 0.000 1.873 0.000
Tc 1.873 0.000 0.000
W 1.873 1.873 1.905
CELL_PARAMETERS angstrom
3.747 0.000 0.000
0.000 3.747 0.000
0.000 0.000 3.809
! * SG: P4/mmm
! * spin magnetization: 0.0001 μB/atom
! * E above lowest polymorph: 0.000 eV/f.u.
! * E_form: 0.09 eV per formula unit

=====

(3)
! Sr2YMo GGA-PBEsol relaxed; values from VASP
&SYSTEM
  ibrav = 0, nat = 4, ntyp = 3
/
ATOMIC_SPECIES
Mo 95.94 Mo.upf
Sr 87.62 Sr.upf
Y 88.91 Y.upf
ATOMIC_POSITIONS angstrom
Mo 0.000 0.000 0.000
Sr -1.944 -1.766 1.726
Sr -6.110 -7.097 5.653
Y -4.027 -4.432 3.690
CELL_PARAMETERS angstrom
-1.339 1.015 3.060
-3.425 0.606 0.291
-3.289 -10.484 4.029
! * SG: R-3m
! * spin magnetization: 0.3716 μB/atom
! * E_form: 3.90 eV per formula unit

=====

(4)
! SnP2I GGA-PBEsol relaxed; values from VASP
&SYSTEM
  ibrav = 0, nat = 4, ntyp = 3
/
ATOMIC_SPECIES
I 126.90 I.upf
P 30.97 P.upf
Sn 118.71 Sn.upf
ATOMIC_POSITIONS angstrom
I 4.888 2.822 1.995
P 2.444 1.411 0.998
P 7.331 4.233 2.993
Sn 0.000 0.000 0.000
CELL_PARAMETERS angstrom
4.888 0.000 0.000
2.444 4.233 0.000
2.444 1.411 3.991
! * SG: Fm-3m
! * spin magnetization: 0.0001 μB/atom
! * uncorrected formation energy: 657 meV/atom

=====

(5)
! Sc2CoB2Ir5 GGA-PBEsol relaxed; values from VASP
&SYSTEM
  ibrav = 0, nat = 20, ntyp = 4
/
ATOMIC_SPECIES
Sc 44.96 Sc.upf
Co 58.93 Co.upf
B 10.81 B.upf
Ir 192.22 Ir.upf
ATOMIC_POSITIONS angstrom
Sc 0.000 6.280 1.640
Sc 0.000 3.001 7.641
Sc 0.000 1.640 3.001
Sc 0.000 7.641 6.280
Co 0.000 0.000 0.000
Co 0.000 4.640 4.640
B 0.000 1.162 5.803
B 0.000 8.118 3.478
B 0.000 5.803 8.118
B 0.000 3.478 1.162
Ir 1.506 1.993 0.643
Ir 1.506 7.287 8.638
Ir 1.506 0.643 7.287
Ir 1.506 6.634 3.998
Ir 1.506 8.638 1.993
Ir 1.506 2.647 5.283
Ir 1.506 5.283 6.634
Ir 1.506 3.998 2.647
Ir 1.506 4.640 0.000
Ir 1.506 0.000 4.640
CELL_PARAMETERS angstrom
3.011 0.000 0.000
0.000 9.281 0.000
0.000 0.000 9.281
! * SG: P4/mbm
! * spin magnetization: 0.2902 μB/atom
! * E_form: -6.64 eV per formula unit

=====

(6)
! LiAsPSe2 GGA-PBEsol relaxed; values from VASP
&SYSTEM
  ibrav = 0, nat = 5, ntyp = 4
/
ATOMIC_SPECIES
P 30.97 P.upf
As 74.92 As.upf
Se 78.96 Se.upf
Li 6.94 Li.upf
ATOMIC_POSITIONS angstrom
P -0.383 -1.517 1.373
As 2.789 -1.495 2.281
Se 1.248 1.141 1.608
Se 1.924 -1.119 -0.700
Li 0.000 0.000 0.000
CELL_PARAMETERS angstrom
-0.765 -3.033 2.746
3.848 -2.238 -1.399
2.496 2.281 3.215
! * SG: P4/mmm
! * spin magnetization: 0.0000 μB/atom
! * E above lowest polymorph: 1.855 eV/f.u.
! * uncorrected formation energy: 559 meV/atom

=====

(7)
! Bi2Se3O9 GGA-PBEsol relaxed; values from VASP
&SYSTEM
  ibrav = 0, nat = 56, ntyp = 3
/
ATOMIC_SPECIES
Bi 208.98 Bi.upf
Se 78.96 Se.upf
O 16.00 O.upf
ATOMIC_POSITIONS angstrom
Bi 1.660 7.089 4.586
Bi 3.972 9.882 2.098
Bi 2.963 -0.102 8.850
Bi 0.651 -2.896 11.339
Bi 1.619 7.073 9.292
Bi 3.931 3.407 10.863
Bi 3.004 -0.087 4.144
Bi 0.692 3.580 2.574
Se 1.386 10.307 5.096
Se 3.698 6.664 1.588
Se 3.237 -3.320 8.340
Se 0.925 0.323 11.848
Se 1.807 4.558 13.207
Se 4.119 5.922 6.948
Se 2.816 2.429 0.230
Se 0.504 1.064 6.488
Se 1.869 3.470 8.406
Se 4.180 7.010 11.749
Se 2.754 3.517 5.030
Se 0.443 -0.024 1.688
O 1.078 2.459 0.159
O 3.390 1.034 6.559
O 3.544 4.528 13.277
O 1.233 5.952 6.878
O 2.204 4.783 3.967
O 4.515 -1.290 2.751
O 2.419 2.203 9.470
O 0.108 8.277 10.685
O 2.166 2.239 4.032
O 4.478 1.255 2.687
O 2.457 4.748 9.405
O 0.145 5.732 10.750
O 2.129 8.994 5.906
O 4.440 7.977 0.778
O 2.494 -2.007 7.530
O 0.182 -0.991 12.658
O 1.925 -4.030 9.216
O 4.236 1.032 10.973
O 2.698 11.017 4.220
O 0.387 5.954 2.464
O 0.189 3.464 8.714
O 2.501 7.016 11.440
O 4.434 3.523 4.722
O 2.122 -0.029 1.996
O 0.727 9.271 3.826
O 3.039 7.700 2.858
O 3.896 -2.284 9.610
O 1.584 -0.714 10.578
O 0.806 0.198 7.954
O 3.117 -3.195 12.234
O 3.817 6.789 5.482
O 1.506 10.182 1.202
O 0.713 -0.117 5.248
O 3.025 3.611 1.470
O 3.910 7.104 8.188
O 1.598 3.376 11.967
CELL_PARAMETERS angstrom
4.623 0.000 0.000
0.000 13.478 -0.034
0.000 -6.491 13.470
! * SG: P2_1/c
! * spin magnetization: 0.0000 μB/atom
! * uncorrected formation energy: -1018 meV/atom

=====

(8)
! ZrNiW2 GGA-PBEsol relaxed; values from VASP
&SYSTEM
  ibrav = 0, nat = 4, ntyp = 3
/
ATOMIC_SPECIES
Ni 58.69 Ni.upf
W 183.84 W.upf
Zr 91.22 Zr.upf
ATOMIC_POSITIONS angstrom
Ni 1.353 1.883 1.433
W 0.000 -0.646 4.855
W 0.000 1.739 3.851
Zr 0.000 4.051 2.180
CELL_PARAMETERS angstrom
2.706 0.000 0.000
-1.353 4.731 -0.056
0.000 -0.974 4.973
! * SG: Cm
! * spin magnetization: 0.0000 μB/atom
! * E above lowest polymorph: 0.769 eV/f.u.
! * E_form: 1.07 eV per formula unit